[1]
Entry from the Alexandria database: crystalline Na2MgF2 at its relaxed geometry (GGA-PBE).

Cell lengths 7.734, 7.734, 3.011 Å; angles 90.00, 90.00, 90.00 degrees
Fractional coordinates of all 10 atoms:
F: 0.125 0.625 0.500
F: 0.625 0.875 0.500
F: 0.375 0.125 0.500
F: 0.875 0.375 0.500
Mg: 0.500 0.500 0.000
Mg: 0.000 0.000 0.000
Na: 0.883 0.617 0.000
Na: 0.617 0.117 0.000
Na: 0.117 0.383 0.000
Na: 0.383 0.883 0.000

Output
VASP energy	-3.17	eV per atom
volume	180.1	Å³ per cell
density	2.00	Mg/m³
total moment	0.00	μB/cell
raw formation energy	-1.577	eV per atom

---

[2]
Entry from the Alexandria database: crystalline NaMg2F at its relaxed geometry (GGA-PBE).

Cell lengths 5.057, 5.057, 5.057 Å; angles 60.00, 60.00, 60.00 degrees
Fractional coordinates of all 4 atoms:
Mg: 0.250 0.250 0.250
Mg: 0.750 0.750 0.750
F: 0.000 0.000 0.000
Na: 0.500 0.500 0.500

Output
VASP energy	-1.99	eV per atom
volume	91.5	Å³ per cell
density	1.64	Mg/m³
total moment	0.00	μB/cell
raw formation energy	-0.399	eV per atom

---

[3]
Entry from the Alexandria database: crystalline Na3MgF6 at its relaxed geometry (GGA-PBE).

Cell lengths 5.675, 5.909, 7.760 Å; angles 90.00, 90.71, 90.00 degrees
Each line ends with the local moment (μB).
Fractional coordinates of all 20 atoms:
Na: 0.481 0.063 0.248  0.00
Na: 0.019 0.563 0.252  0.00
Na: 0.519 0.937 0.752  0.00
Na: 0.981 0.437 0.748  0.00
Na: 0.000 0.000 0.500  0.00
Na: 0.500 0.500 0.000  0.00
F: 0.856 0.930 0.225  0.12
F: 0.356 0.570 0.725  0.12
F: 0.222 0.308 0.431  0.15
F: 0.722 0.192 0.931  0.15
F: 0.144 0.070 0.775  0.12
F: 0.278 0.808 0.069  0.15
F: 0.644 0.430 0.275  0.12
F: 0.320 0.775 0.416  0.18
F: 0.180 0.275 0.084  0.18
F: 0.680 0.225 0.584  0.18
F: 0.778 0.692 0.569  0.15
F: 0.820 0.725 0.916  0.18
Mg: 0.000 0.000 0.000  0.00
Mg: 0.500 0.500 0.500  0.00

Output
VASP energy	-4.36	eV per atom
volume	260.2	Å³ per cell
density	2.65	Mg/m³
total moment	2.04	μB/cell
raw formation energy	-2.679	eV per atom

---

[4]
Entry from the Alexandria database: crystalline Na2MgF2 at its relaxed geometry (GGA-PBE).

Cell lengths 6.786, 6.786, 3.359 Å; angles 90.00, 90.00, 90.00 degrees
Fractional coordinates of all 10 atoms:
Na: 0.350 0.150 0.500
Na: 0.650 0.850 0.500
Na: 0.850 0.350 0.500
Na: 0.150 0.650 0.500
F: 0.658 0.158 0.000
F: 0.158 0.342 0.000
F: 0.842 0.658 0.000
F: 0.342 0.842 0.000
Mg: 0.000 0.000 0.000
Mg: 0.500 0.500 0.000

Output
VASP energy	-3.37	eV per atom
volume	154.7	Å³ per cell
density	2.32	Mg/m³
total moment	0.00	μB/cell
raw formation energy	-1.776	eV per atom

---

[5]
Entry from the Alexandria database: crystalline Na2MgF4 at its relaxed geometry (GGA-PBE).

Cell lengths 3.155, 5.591, 9.804 Å; angles 90.00, 90.00, 90.00 degrees
Fractional coordinates of all 14 atoms:
Na: 0.500 0.564 0.319
Na: 0.500 0.936 0.819
Na: 0.500 0.064 0.181
Na: 0.500 0.436 0.681
F: 0.000 0.134 0.687
F: 0.000 0.366 0.187
F: 0.000 0.866 0.313
F: 0.000 0.634 0.813
F: 0.500 0.225 0.455
F: 0.500 0.275 0.955
F: 0.500 0.725 0.045
F: 0.500 0.775 0.545
Mg: 0.000 0.500 0.000
Mg: 0.000 0.000 0.500

Output
VASP energy	-4.76	eV per atom
volume	172.9	Å³ per cell
density	2.81	Mg/m³
total moment	0.00	μB/cell
raw formation energy	-3.091	eV per atom

---

[6]
Entry from the Alexandria database: crystalline Na2Mg3F8 at its relaxed geometry (GGA-PBE).

Cell lengths 5.235, 6.189, 6.378 Å; angles 119.02, 107.46, 90.00 degrees
Fractional coordinates of all 13 atoms:
F: 0.392 0.884 0.210
F: 0.061 0.395 0.791
F: 0.909 0.098 0.196
F: 0.939 0.605 0.209
F: 0.091 0.902 0.804
F: 0.392 0.326 0.210
F: 0.608 0.674 0.790
F: 0.608 0.116 0.790
Mg: 0.000 0.739 0.000
Mg: 0.500 0.000 0.000
Mg: 0.000 0.261 0.000
Na: 0.654 0.720 0.440
Na: 0.346 0.280 0.560

Output
VASP energy	-5.02	eV per atom
volume	169.7	Å³ per cell
density	2.65	Mg/m³
total moment	0.11	μB/cell
raw formation energy	-3.295	eV per atom

---

[7]
Entry from the Alexandria database: crystalline Na2NdMgF8 at its relaxed geometry (GGA-PBE).

Cell lengths 4.145, 5.499, 7.155 Å; angles 89.77, 89.93, 89.43 degrees
Each line ends with the local moment (μB).
Fractional coordinates of all 12 atoms:
Na: 0.501 0.502 0.246  0.00
Na: 0.499 0.498 0.754  0.00
F: 0.520 0.764 0.500  0.01
F: 0.573 0.825 0.998  0.41
F: 0.048 0.765 0.223  0.03
F: 0.427 0.175 0.002  0.41
F: 0.480 0.236 0.500  0.01
F: 0.952 0.235 0.777  0.03
F: 0.952 0.236 0.223  0.04
F: 0.048 0.764 0.777  0.04
Nd: 0.000 0.000 0.500  0.00
Mg: 0.000 0.000 0.000  0.00

Output
VASP energy	-5.10	eV per atom
volume	163.1	Å³ per cell
density	3.73	Mg/m³
total moment	1.08	μB/cell
raw formation energy	-3.106	eV per atom

---

[8]
Entry from the Alexandria database: crystalline NaNdMgF6 at its relaxed geometry (GGA-PBE).

Cell lengths 5.808, 5.808, 9.222 Å; angles 90.00, 90.00, 120.00 degrees
Fractional coordinates of all 18 atoms:
F: 0.374 0.037 0.134
F: 0.663 0.037 0.366
F: 0.663 0.626 0.134
F: 0.337 0.374 0.866
F: 0.963 0.626 0.366
F: 0.337 0.963 0.634
F: 0.626 0.963 0.866
F: 0.037 0.663 0.866
F: 0.037 0.374 0.634
F: 0.626 0.663 0.634
F: 0.963 0.337 0.134
F: 0.374 0.337 0.366
Mg: 0.667 0.333 0.250
Mg: 0.333 0.667 0.750
Nd: 0.333 0.667 0.250
Nd: 0.667 0.333 0.750
Na: 0.000 0.000 0.500
Na: 0.000 0.000 0.000

Output
VASP energy	-5.63	eV per atom
volume	269.4	Å³ per cell
density	3.77	Mg/m³
total moment	0.00	μB/cell
raw formation energy	-3.531	eV per atom

---

> What is the formula in the second record?

NaMg2F